# Te2AsPb

A crystal of Te2AsPb relaxed with PBEsol (meta-GGA SCAN, Alexandria via LeMat-Bulk).

Cell: 10.117 10.117 10.117 Å, 21.52 21.52 21.52°
Sites, in units of the cell vectors:
Te  0.106  0.106  0.106
Te  0.894  0.894  0.894
As  0.500  0.500  0.500
Pb  0.000  0.000  0.000

## Properties
space group = R-3m, No. 166
raw formation energy = 31 kJ/mol of formula units

=====

# HfBiSb3

A crystal of HfBiSb3 relaxed with PBEsol (meta-GGA SCAN, Alexandria via LeMat-Bulk).

Cell: 5.427 5.427 5.427 Å, 90.00 90.00 90.00°
Sites, in units of the cell vectors:
Hf  0.000  0.000  0.000
Bi  0.500  0.500  0.500
Sb  0.000  0.000  0.500
Sb  0.000  0.500  0.000
Sb  0.500  0.000  0.000

## Properties
space group = Pm-3m, No. 221
raw formation energy = 192 kJ/mol of formula units

=====

# IrRu2Au

A crystal of IrRu2Au relaxed with PBEsol (meta-GGA SCAN, Alexandria via LeMat-Bulk).

Cell: 4.713 4.713 2.732 Å, 90.00 90.00 109.75°
Sites, in units of the cell vectors:
Ir  0.000  0.000  0.000
Ru  0.000  0.500  0.500
Ru  0.500  0.000  0.500
Au  0.500  0.500  0.000

## Properties
energy relative to the elements = 326.8 meV/atom
space group = Cmmm, No. 65

=====

# NaBi2PPd

A crystal of NaBi2PPd relaxed with PBEsol (meta-GGA SCAN, Alexandria via LeMat-Bulk).

Cell: 5.274 5.274 4.669 Å, 90.00 90.00 90.00°
Sites, in units of the cell vectors:
Na  0.000  0.000  0.000
Bi  0.000  0.500  0.000
Bi  0.500  0.000  0.000
P  0.000  0.000  0.500
Pd  0.500  0.500  0.500

## Properties
energy relative to the elements = 1103.2 meV/atom
space group = P4/mmm, No. 123

=====

# CaCr2O7

A crystal of CaCr2O7 relaxed with PBEsol (meta-GGA SCAN, Alexandria via LeMat-Bulk).

Cell: 6.732 7.239 7.205 Å, 90.00 105.06 90.00°
Sites, in units of the cell vectors:
Ca  0.127  0.000  0.029
Ca  0.873  0.500  0.971
Cr  0.248  0.913  0.568
Cr  0.353  0.498  0.089
Cr  0.647  0.998  0.911
Cr  0.752  0.413  0.432
O  0.108  0.984  0.706
O  0.172  0.000  0.353
O  0.197  0.321  0.037
O  0.201  0.679  0.053
O  0.249  0.695  0.561
O  0.490  0.003  0.045
O  0.494  0.490  0.323
O  0.506  0.990  0.677
O  0.510  0.503  0.955
O  0.751  0.195  0.439
O  0.799  0.179  0.947
O  0.803  0.821  0.963
O  0.828  0.500  0.647
O  0.892  0.484  0.294

## Properties
space group = P2_1, No. 4
raw formation energy = -2103 kJ/mol of formula units

=====

# MnAl3Sb

A crystal of MnAl3Sb relaxed with PBEsol (meta-GGA SCAN, Alexandria via LeMat-Bulk).

Cell: 5.216 5.216 5.216 Å, 90.00 90.00 90.00°
Sites, in units of the cell vectors:
Mn  0.000  0.000  0.000
Al  0.000  0.500  0.500
Al  0.500  0.000  0.500
Al  0.500  0.500  0.000
Sb  0.500  0.500  0.500

## Properties
space group = Pm-3m, No. 221
raw formation energy = 532 kJ/mol of formula units

=====

# CdCuTeN2

A crystal of CdCuTeN2 relaxed with PBEsol (meta-GGA SCAN, Alexandria via LeMat-Bulk).

Cell: 4.090 4.090 6.090 Å, 90.00 90.00 90.00°
Sites, in units of the cell vectors:
Cd  0.000  0.000  0.000
Cu  0.500  0.500  0.500
Te  0.000  0.000  0.500
N  0.000  0.500  0.000
N  0.500  0.000  0.000

## Properties
space group = P4/mmm, No. 123
raw formation energy = 814 kJ/mol of formula units

=====

# BaSc2Se

A crystal of BaSc2Se relaxed with PBEsol (meta-GGA SCAN, Alexandria via LeMat-Bulk).

Cell: 11.130 11.130 11.130 Å, 19.08 19.08 19.08°
Sites, in units of the cell vectors:
Ba  0.000  0.000  0.000
Sc  0.426  0.426  0.426
Sc  0.574  0.574  0.574
Se  0.500  0.500  0.500

## Properties
space group = R-3m, No. 166
raw formation energy = 0 kJ/mol of formula units

=====

# Ce3Pd4

A crystal of Ce3Pd4 relaxed with PBEsol (meta-GGA SCAN, Alexandria via LeMat-Bulk).

Cell: 7.895 7.895 7.895 Å, 114.45 114.45 114.45°
Sites, in units of the cell vectors:
Ce  0.025  0.285  0.404
Ce  0.285  0.404  0.025
Ce  0.404  0.025  0.285
Ce  0.596  0.975  0.715
Ce  0.715  0.596  0.975
Ce  0.975  0.715  0.596
Pd  0.000  0.000  0.000
Pd  0.060  0.554  0.223
Pd  0.223  0.060  0.554
Pd  0.446  0.777  0.940
Pd  0.500  0.500  0.500
Pd  0.554  0.223  0.060
Pd  0.777  0.940  0.446
Pd  0.940  0.446  0.777

## Properties
energy relative to the elements = -769.2 meV/atom
space group = R-3, No. 148

=====

# Fe2Co

A crystal of Fe2Co relaxed with PBEsol (meta-GGA SCAN, Alexandria via LeMat-Bulk).

Cell: 2.426 3.950 6.838 Å, 90.00 90.10 90.00°
Sites, in units of the cell vectors:
Fe  0.000  0.000  0.000
Fe  0.000  0.500  0.500
Fe  0.337  0.000  0.668
Fe  0.663  0.000  0.332
Co  0.328  0.500  0.166
Co  0.672  0.500  0.834

## Properties
energy relative to the elements = -125.1 meV/atom
space group = P2/m, No. 10

=====

# Ho3Co8Sn4

A crystal of Ho3Co8Sn4 relaxed with PBEsol (meta-GGA SCAN, Alexandria via LeMat-Bulk).

Cell: 8.716 8.716 7.316 Å, 90.00 90.00 120.00°
Sites, in units of the cell vectors:
Ho  0.061  0.530  0.000
Ho  0.470  0.530  0.000
Ho  0.470  0.939  0.000
Ho  0.530  0.061  0.500
Ho  0.530  0.470  0.500
Ho  0.939  0.470  0.500
Co  0.000  0.000  0.277
Co  0.000  0.000  0.777
Co  0.098  0.196  0.022
Co  0.098  0.902  0.022
Co  0.159  0.319  0.333
Co  0.159  0.841  0.333
Co  0.196  0.098  0.522
Co  0.319  0.159  0.833
Co  0.333  0.667  0.716
Co  0.667  0.333  0.216
Co  0.681  0.841  0.333
Co  0.804  0.902  0.022
Co  0.841  0.159  0.833
Co  0.841  0.681  0.833
Co  0.902  0.098  0.522
Co  0.902  0.804  0.522
Sn  0.171  0.342  0.702
Sn  0.171  0.829  0.702
Sn  0.333  0.667  0.336
Sn  0.342  0.171  0.202
Sn  0.658  0.829  0.702
Sn  0.667  0.333  0.836
Sn  0.829  0.171  0.202
Sn  0.829  0.658  0.202

## Properties
energy relative to the elements = -266.1 meV/atom
space group = P6_3mc, No. 186

=====

# MnFe2Co

A crystal of MnFe2Co relaxed with PBEsol (meta-GGA SCAN, Alexandria via LeMat-Bulk).

Cell: 2.767 3.950 3.965 Å, 90.00 90.00 90.00°
Sites, in units of the cell vectors:
Mn  0.000  0.000  0.000
Fe  0.000  0.500  0.500
Fe  0.500  0.000  0.500
Co  0.500  0.500  0.000

## Properties
energy relative to the elements = -49.1 meV/atom
space group = Pmmm, No. 47

=====

Number 1: density of states at the Fermi level 1.614 states/eV/f.u.. Number 2: density of states at the Fermi level 4.762 states/eV/f.u.. Number 3: density of states at the Fermi level 4.473 states/eV/f.u.. Number 4: density of states at the Fermi level 2.934 states/eV/f.u.. Number 5: density of states at the Fermi level 0.000 states/eV/f.u.. Number 6: density of states at the Fermi level 2.691 states/eV/f.u.. Number 7: density of states at the Fermi level 2.186 states/eV/f.u.. Number 8: density of states at the Fermi level 4.665 states/eV/f.u.. Number 9: density of states at the Fermi level 11.789 states/eV/f.u.. Number 10: density of states at the Fermi level 1.124 states/eV/f.u.. Number 11: density of states at the Fermi level 12.973 states/eV/f.u.. Number 12: density of states at the Fermi level 3.206 states/eV/f.u..